## Hf4Ga2Mo (GGA-PBE)

Data for a geometry-optimized Hf4Ga2Mo structure.

Structure (POSCAR):
```
Hf4Ga2Mo
1.0
4.6303 0.0000 0.0000
2.3152 4.0100 0.0000
2.3152 1.3367 7.9041
Hf Ga Mo
4 2 1
Direct
0.1275 0.1275 0.6175
0.8725 0.8725 0.3825
0.7232 0.7232 0.8303
0.2768 0.2768 0.1697
0.3912 0.3912 0.8263
0.6088 0.6088 0.1737
0.5000 0.5000 0.5000
```

Symmetry: R-3m
E_form (kJ/mol of formula units): -7


## PmDy4Ag4 (GGA-PBE)

Data for a geometry-optimized PmDy4Ag4 structure.

Structure (POSCAR):
```
PmDy4Ag4
1.0
-1.4547 5.7651 -0.5410
-8.8202 -1.9837 2.5786
2.3102 1.4275 9.0003
Dy Pm Ag
8 2 8
Direct
0.4008 0.6678 0.0947
0.0992 0.8322 0.4053
0.9008 0.5947 0.8322
0.9008 0.4053 0.1678
0.5992 0.0947 0.3322
0.4008 0.3322 0.9053
0.5992 0.9053 0.6678
0.0992 0.1678 0.5947
0.5000 0.5000 0.5000
0.0000 0.0000 0.0000
0.1045 0.1350 0.2822
0.3955 0.6350 0.7822
0.8955 0.2822 0.8650
0.1045 0.8650 0.7178
0.8955 0.7178 0.1350
0.6045 0.2178 0.6350
0.3955 0.3650 0.2178
0.6045 0.7822 0.3650
```

Symmetry: P4_2/n
E_form (kJ/mol of formula units): -21


## CsHg2Sb (GGA-PBE)

Data for a geometry-optimized CsHg2Sb structure.

Structure (POSCAR):
```
CsHg2Sb
1.0
-3.8681 1.9053 2.4988
-4.3806 -2.3762 0.0004
-0.6875 -3.9573 6.9227
Sb Hg Cs
1 2 1
Direct
0.6963 0.6963 0.9110
0.2706 0.2706 0.1881
0.0366 0.0366 0.8901
0.4964 0.4964 0.5108
```

Symmetry: R3m
Formation energy from raw total energies (eV per atom): -0.245


## BaCdPb11 (GGA-PBE)

Data for a geometry-optimized BaCdPb11 structure.

Structure (POSCAR):
```
BaCdPb11
1.0
-0.6288 -4.1956 4.9992
7.5447 -4.1639 1.3909
1.9234 3.6672 7.6193
Pb Ba Cd
11 1 1
Direct
0.3567 0.6430 0.6484
0.5054 0.2206 0.7865
0.5000 0.0000 0.5000
0.9948 0.3570 0.6484
0.0052 0.6430 0.3516
0.7081 0.7794 0.7865
0.0000 0.0000 0.5000
0.4946 0.7794 0.2135
0.2919 0.2206 0.2135
0.0000 0.5000 0.0000
0.6433 0.3570 0.3516
0.0000 0.0000 0.0000
0.5000 0.5000 0.0000
```

Symmetry: C2/m
E_form (kJ/mol of formula units): -105


## Co2AsRuS (GGA-PBE)

Data for a geometry-optimized Co2AsRuS structure.

Structure (POSCAR):
```
Co2AsRuS
1.0
-0.9404 -3.0185 -2.6462
3.0012 1.5726 -2.8605
2.8856 -2.3976 1.7094
As Co Ru S
1 2 1 1
Direct
0.5000 0.5000 0.5000
0.5000 0.0000 0.0000
0.0000 0.0000 0.5000
0.0000 0.5000 0.0000
0.0000 0.0000 0.0000
```

Symmetry: P4/mmm
Formation energy from raw total energies (eV per atom): 0.411


## Hg2TeBr (GGA-PBE)

Data for a geometry-optimized Hg2TeBr structure.

Structure (POSCAR):
```
Hg2TeBr
1.0
-2.4281 3.3361 3.4307
-5.2375 -0.5536 1.0282
-1.6188 -1.7908 4.7924
Br Hg Te
1 2 1
Direct
0.5000 0.5000 0.5000
0.2500 0.2500 0.2500
0.0000 0.0000 0.0000
0.7500 0.7500 0.7500
```

Symmetry: F-43m
Formation energy from raw total energies (eV per atom): 0.184


## MgTiW (GGA-PBE)

Data for a geometry-optimized MgTiW structure.

Structure (POSCAR):
```
MgTiW
1.0
-3.2390 -1.9197 -2.1920
1.7902 -0.5106 -2.1987
1.1498 -7.2948 4.6909
Ti W Mg
2 2 2
Direct
0.2680 0.6779 0.2966
0.7681 0.3726 0.8543
0.2681 0.8368 0.0049
0.7680 0.2121 0.1458
0.2680 0.8144 0.6684
0.7682 0.2408 0.4825
```

Symmetry: Pm
E_form (kJ/mol of formula units): 39


## BaHPd (GGA-PBE)

Data for a geometry-optimized BaHPd structure.

Structure (POSCAR):
```
BaHPd
1.0
-1.9806 0.9738 3.4185
-3.8891 -1.3836 -1.8593
1.1197 -6.5482 2.5311
Ba Pd H
2 2 2
Direct
0.3107 0.2162 0.6670
0.3124 0.7162 0.1259
0.8114 0.7161 0.5240
0.8120 0.2161 0.2689
0.8112 0.7162 0.7685
0.8120 0.2163 0.0244
```

Symmetry: P2_1/m
Final energy (eV per atom): -3.93


## TaTl2Sb (GGA-PBE)

Data for a geometry-optimized TaTl2Sb structure.

Structure (POSCAR):
```
TaTl2Sb
1.0
10.9833 -0.0377 -0.0221
10.5178 3.1640 -0.0221
10.5178 1.5293 2.7700
Ta Sb Tl
1 1 2
Direct
0.7500 0.7500 0.7500
0.2500 0.2500 0.2500
0.4938 0.4938 0.4938
0.0062 0.0062 0.0062
```

Symmetry: R-3m
Formation energy from raw total energies (eV per atom): 0.562


## Ac8Te4Ir3Cl (GGA-PBE)

Data for a geometry-optimized Ac8Te4Ir3Cl structure.

Structure (POSCAR):
```
Ac8Te4Ir3Cl
1.0
-1.7503 8.7721 -0.3999
-0.8706 -0.6032 -9.4219
-5.0839 -5.3531 5.0681
Ac Te Ir Cl
8 4 3 1
Direct
0.2482 0.7137 0.4965
0.7516 0.2860 0.0341
0.7355 0.7065 0.4711
0.2484 0.7140 0.9659
0.2645 0.2935 0.5289
0.7518 0.2863 0.5035
0.7175 0.7140 0.9659
0.2825 0.2860 0.0341
0.0000 0.0000 0.5000
0.0000 0.0000 0.0000
0.5000 0.0000 0.0000
0.5000 0.0000 0.5000
0.5000 0.5000 0.0000
0.5000 0.5000 0.5000
0.0000 0.5000 0.5000
0.0000 0.5000 0.0000
```

Symmetry: R-3m
Formation energy from raw total energies (eV per atom): -1.226


## Li2Pm2HoGa2 (GGA-PBE)

Data for a geometry-optimized Li2Pm2HoGa2 structure.

Structure (POSCAR):
```
Li2Pm2HoGa2
1.0
-0.7908 2.4365 3.8427
1.6454 -1.4812 4.0530
7.8052 4.9212 1.2610
Li Pm Ga Ho
2 2 2 1
Direct
0.6100 0.6100 0.1701
0.3900 0.3900 0.8299
0.8749 0.8749 0.3753
0.1251 0.1251 0.6247
0.7338 0.7338 0.7985
0.2662 0.2662 0.2015
0.0000 0.0000 0.0000
```

Symmetry: R-3m
E_form (kJ/mol of formula units): -191


## Ba6IrAu2N (GGA-PBE)

Data for a geometry-optimized Ba6IrAu2N structure.

Structure (POSCAR):
```
Ba6IrAu2N
1.0
-3.8072 -3.2585 -5.8452
7.2612 -1.7279 -3.7663
0.3711 -9.9322 5.2722
Au Ir Ba N
4 2 12 2
Direct
0.9606 0.0932 0.7488
0.0394 0.9068 0.2512
0.4606 0.4068 0.2488
0.5394 0.5932 0.7512
0.0000 0.5000 0.5000
0.5000 0.0000 0.0000
0.3252 0.6990 0.4430
0.1748 0.1990 0.0570
0.7000 0.3208 0.9462
0.3859 0.9708 0.7368
0.2000 0.1792 0.4462
0.8000 0.8208 0.5538
0.8252 0.8010 0.9430
0.1141 0.4708 0.7632
0.6141 0.0292 0.2632
0.3000 0.6792 0.0538
0.6748 0.3010 0.5570
0.8859 0.5292 0.2368
0.5000 0.0000 0.5000
0.0000 0.5000 0.0000
```

Symmetry: P2_1/c
Formation energy from raw total energies (eV per atom): -0.381


## Ta3VW4 (GGA-PBE)

Data for a geometry-optimized Ta3VW4 structure.

Structure (POSCAR):
```
Ta3VW4
1.0
-0.1729 -2.8464 1.4748
2.9851 -0.6814 -0.9652
4.6589 5.2589 10.6958
W Ta V
4 3 1
Direct
0.0000 0.0000 0.8832
0.0000 0.0000 0.6280
0.0000 0.0000 0.1168
0.0000 0.0000 0.3720
0.5000 0.5000 0.2452
0.5000 0.5000 0.5000
0.5000 0.5000 0.7548
0.5000 0.5000 0.0000
```

Symmetry: P4/mmm
E_form (kJ/mol of formula units): -59


## YScSn2 (GGA-PBE)

Data for a geometry-optimized YScSn2 structure.

Structure (POSCAR):
```
YScSn2
1.0
3.6935 0.0000 0.0000
1.8467 3.1986 0.0000
1.8467 1.0662 8.9485
Sc Sn Y
1 2 1
Direct
0.0000 0.0000 0.0000
0.2540 0.2540 0.2381
0.7460 0.7460 0.7619
0.5000 0.5000 0.5000
```

Symmetry: R-3m
E_form (kJ/mol of formula units): -193


## Pu3Sb2Rh (GGA-PBE)

Data for a geometry-optimized Pu3Sb2Rh structure.

Structure (POSCAR):
```
Pu3Sb2Rh
1.0
4.4340 0.0000 0.0000
0.0000 11.0659 0.0000
0.0000 0.0000 12.6318
Rh Pu Sb
4 12 8
Direct
0.2500 0.1533 0.1136
0.2500 0.3467 0.6136
0.7500 0.6533 0.3864
0.7500 0.8467 0.8864
0.2500 0.4559 0.3837
0.2500 0.4037 0.0505
0.7500 0.5963 0.9495
0.7500 0.9037 0.4495
0.7500 0.2708 0.7484
0.2500 0.7708 0.7516
0.2500 0.0441 0.8837
0.2500 0.0963 0.5505
0.7500 0.2292 0.2484
0.2500 0.7292 0.2516
0.7500 0.9559 0.1163
0.7500 0.5441 0.6163
0.7500 0.2863 0.4912
0.7500 0.2137 0.9912
0.2500 0.0195 0.2978
0.2500 0.7137 0.5088
0.7500 0.5195 0.2022
0.2500 0.7863 0.0088
0.7500 0.9805 0.7022
0.2500 0.4805 0.7978
```

Symmetry: Pnma
Formation energy from raw total energies (eV per atom): -0.551


## InNiSn (GGA-PBE)

Data for a geometry-optimized InNiSn structure.

Structure (POSCAR):
```
InNiSn
1.0
-2.3266 -3.4871 -1.6114
3.3022 -0.4066 -3.0165
2.9217 -1.7251 6.1222
In Ni Sn
2 2 2
Direct
0.5000 0.5000 0.5000
0.0000 0.0000 0.5000
0.3714 0.9130 0.2844
0.6286 0.0870 0.7156
0.8311 0.2863 0.1174
0.1689 0.7137 0.8826
```

Symmetry: C2/m
E_form (kJ/mol of formula units): 3


## LaBSeN2 (GGA-PBE)

Data for a geometry-optimized LaBSeN2 structure.

Structure (POSCAR):
```
LaBSeN2
1.0
4.0588 0.0000 0.0000
0.0000 4.0588 0.0000
0.0000 0.0000 6.5560
N B Se La
2 1 1 1
Direct
0.0000 0.5000 0.0000
0.5000 0.0000 0.0000
0.5000 0.5000 0.5000
0.0000 0.0000 0.5000
0.0000 0.0000 0.0000
```

Symmetry: P4/mmm
Formation energy from raw total energies (eV per atom): 1.601


## Tl2Co (GGA-PBE)

Data for a geometry-optimized Tl2Co structure.

Structure (POSCAR):
```
Tl2Co
1.0
2.5320 -2.0625 3.9906
3.8600 0.8573 3.3099
-4.6558 3.6563 6.6001
Co Tl
2 4
Direct
0.9969 0.9969 0.0762
0.4007 0.4007 0.2405
0.2922 0.2922 0.9604
0.6621 0.6621 0.2817
0.5928 0.5928 0.7507
0.8886 0.8886 0.5237
```

Symmetry: Cm
E_form (kJ/mol of formula units): 110


## PuI2Cl (GGA-PBE)

Data for a geometry-optimized PuI2Cl structure.

Structure (POSCAR):
```
PuI2Cl
1.0
-4.0075 0.0182 0.5110
-1.5012 -4.2300 4.3472
-1.1360 2.9126 6.9558
Cl Pu I
1 1 2
Direct
0.2447 0.1554 0.3552
0.7268 0.9397 0.6068
0.4431 0.5168 0.5970
0.0854 0.8881 0.9411
```

Symmetry: Cm
Formation energy from raw total energies (eV per atom): -1.302


## Na2MgH2I2 (GGA-PBE)

Data for a geometry-optimized Na2MgH2I2 structure.

Structure (POSCAR):
```
Na2MgH2I2
1.0
4.1783 0.0000 0.0000
0.0000 4.1783 0.0000
-2.0892 -2.0892 9.4531
H I Mg Na
2 2 1 2
Direct
0.5000 0.0000 0.0000
0.0000 0.5000 0.0000
0.8454 0.8454 0.6907
0.1546 0.1546 0.3093
0.0000 0.0000 0.0000
0.5993 0.5993 0.1985
0.4007 0.4007 0.8015
```

Symmetry: I4/mmm
Final energy (eV per atom): -2.68


## PrMg2SiIr2 (GGA-PBE)

Data for a geometry-optimized PrMg2SiIr2 structure.

Structure (POSCAR):
```
PrMg2SiIr2
1.0
-3.1628 -0.2829 3.2715
3.2618 -0.7957 3.0846
0.5042 5.9521 1.0022
Mg Ir Pr Si
2 2 1 1
Direct
0.5000 0.5000 0.7451
0.5000 0.5000 0.2549
0.5000 0.0000 0.0000
0.0000 0.5000 0.0000
0.0000 0.0000 0.5000
0.0000 0.0000 0.0000
```

Symmetry: P4/mmm
Formation energy from raw total energies (eV per atom): -0.340


## ZnRe2Se (GGA-PBE)

Data for a geometry-optimized ZnRe2Se structure.

Structure (POSCAR):
```
ZnRe2Se
1.0
-7.0724 0.8854 -5.0858
-7.0185 -2.0341 -4.8239
-8.3015 -0.4002 -2.7552
Se Re Zn
1 2 1
Direct
0.5074 0.5074 0.5074
0.9968 0.9968 0.9968
0.2494 0.2494 0.2494
0.7464 0.7464 0.7464
```

Symmetry: R3m
Formation energy from raw total energies (eV per atom): 0.220


## LiThRuPt (GGA-PBE)

Data for a geometry-optimized LiThRuPt structure.

Structure (POSCAR):
```
LiThRuPt
1.0
4.7326 0.0000 0.0000
2.3663 4.0986 0.0000
2.3663 1.3662 3.8642
Ru Pt Th Li
1 1 1 1
Direct
0.2500 0.2500 0.2500
0.7500 0.7500 0.7500
0.5000 0.5000 0.5000
0.0000 0.0000 0.0000
```

Symmetry: F-43m
E_form (kJ/mol of formula units): -188


## Tm7In2Pb2 (GGA-PBE)

Data for a geometry-optimized Tm7In2Pb2 structure.

Structure (POSCAR):
```
Tm7In2Pb2
1.0
6.7403 -0.0024 -0.8568
0.0036 7.7067 0.0032
-1.2751 -0.0026 6.6739
Tm Pb In
7 2 2
Direct
0.5002 0.7254 0.4998
0.9998 0.2893 0.5003
0.0002 0.7107 0.4997
0.4998 0.2746 0.5002
0.4997 0.2893 0.0002
0.0000 0.0000 0.0000
0.5003 0.7107 0.9998
0.2966 0.0000 0.7034
0.7034 0.0000 0.2966
0.1771 0.5000 0.1771
0.8229 0.5000 0.8229
```

Symmetry: Cmmm
E_form (kJ/mol of formula units): -74


| no. | ρ (g/cm³) |
| --- | --- |
| 1 | 10.74 |
| 2 | 7.72 |
| 3 | 6.78 |
| 4 | 9.73 |
| 5 | 7.18 |
| 6 | 9.25 |
| 7 | 7.87 |
| 8 | 6.21 |
| 9 | 12.04 |
| 10 | 8.84 |
| 11 | 6.13 |
| 12 | 6.53 |
| 13 | 16.73 |
| 14 | 5.83 |
| 15 | 11.56 |
| 16 | 7.68 |
| 17 | 3.95 |
| 18 | 11.07 |
| 19 | 5.40 |
| 20 | 3.28 |
| 21 | 7.94 |
| 22 | 13.42 |
| 23 | 11.86 |
| 24 | 8.97 |